(1)
A plane-wave DFT calculation with GGA-PBE was carried out for a relaxed Tb2NdSe crystal.

volume	30.427	A^3/atom
energy	-5.191	eV per atom
crystal system	trigonal
relative energy among the computed polymorphs	0.00	kcal/mol of atoms
ΔE_f (raw)	-3.3	eV/f.u.

CIF file:
```
data_Tb2NdSe
_cell_length_a 3.8288
_cell_length_b 3.8288
_cell_length_c 28.7607
_cell_angle_alpha 90.00
_cell_angle_beta 90.00
_cell_angle_gamma 120.00
_space_group_name_H-M_alt 'R 3 m'
_space_group_IT_number 160
_space_group_name_Hall 'R 3 -2"'
loop_
_atom_site_label
_atom_site_type_symbol
_atom_site_fract_x
_atom_site_fract_y
_atom_site_fract_z
Tb1 Tb 0.0000 0.0000 0.0000
Tb2 Tb 0.0000 0.0000 0.2050
Nd1 Nd 0.0000 0.0000 0.4354
Se1 Se 0.0000 0.0000 0.6025
```

=====

(2)
A plane-wave DFT calculation with GGA-PBE was carried out for a relaxed Tb2Nd2Se5 crystal.

volume	29.916	A^3/atom
energy	-5.668	eV per atom
crystal system	orthorhombic
relative energy among the computed polymorphs	2.96	kcal/mol of atoms
ΔE_f (raw)	-14.8	eV/f.u.

CIF file:
```
data_Tb2Nd2Se5
_cell_length_a 17.9497
_cell_length_b 8.3244
_cell_length_c 7.2077
_cell_angle_alpha 90.00
_cell_angle_beta 90.00
_cell_angle_gamma 90.00
_space_group_name_H-M_alt 'I m a 2'
_space_group_IT_number 46
loop_
_space_group_symop_operation_xyz
'x,y,z'
'-x,-y,z'
'-x+1/2,y,z'
'x+1/2,-y,z'
'x+1/2,y+1/2,z+1/2'
'-x+1/2,-y+1/2,z+1/2'
'-x,y+1/2,z+1/2'
'x,-y+1/2,z+1/2'
loop_
_atom_site_label
_atom_site_type_symbol
_atom_site_fract_x
_atom_site_fract_y
_atom_site_fract_z
Tb1 Tb 0.0000 0.0000 0.0000
Tb2 Tb 0.2500 0.1033 0.9393
Nd1 Nd 0.0941 0.5702 0.9680
Se1 Se 0.0330 0.2098 0.7023
Se2 Se 0.1471 0.6080 0.5798
Se3 Se 0.2500 0.0746 0.5541
```

=====

(3)
A plane-wave DFT calculation with GGA-PBE was carried out for a relaxed Tb2Nd2Se7 crystal.

volume	31.529	A^3/atom
energy	-5.363	eV per atom
crystal system	orthorhombic
ΔE_f (raw)	-15.8	eV/f.u.

CIF file:
```
data_Tb2Nd2Se7
_cell_length_a 10.3284
_cell_length_b 10.4550
_cell_length_c 6.4235
_cell_angle_alpha 90.00
_cell_angle_beta 90.00
_cell_angle_gamma 90.00
_space_group_name_H-M_alt 'C m m m'
_space_group_IT_number 65
_space_group_name_Hall '-C 2 2'
loop_
_atom_site_label
_atom_site_type_symbol
_atom_site_fract_x
_atom_site_fract_y
_atom_site_fract_z
Tb1 Tb 0.2180 0.0000 0.0000
Nd1 Nd 0.0000 0.2354 0.5000
Se1 Se 0.0000 0.0000 0.2505
Se2 Se 0.0000 0.5000 0.5000
Se3 Se 0.2500 0.2500 0.2343
```

=====

(4)
A plane-wave DFT calculation with GGA-PBE was carried out for a relaxed TbNdTeSe2 crystal.

volume	31.342	A^3/atom
energy	-5.276	eV per atom
crystal system	tetragonal
ΔE_f (raw)	-6.9	eV/f.u.

CIF file:
```
data_TbNdTeSe2
_cell_length_a 4.6782
_cell_length_b 4.6782
_cell_length_c 14.3209
_cell_angle_alpha 90.00
_cell_angle_beta 90.00
_cell_angle_gamma 90.00
_space_group_name_H-M_alt 'I 4 m m'
_space_group_IT_number 107
_space_group_name_Hall 'I 4 -2'
loop_
_atom_site_label
_atom_site_type_symbol
_atom_site_fract_x
_atom_site_fract_y
_atom_site_fract_z
Tb1 Tb 0.0000 0.0000 0.0000
Nd1 Nd 0.0000 0.0000 0.2770
Te1 Te 0.0000 0.0000 0.6434
Se1 Se 0.0000 0.5000 0.3946
```

=====

(5)
A plane-wave DFT calculation with GGA-PBE was carried out for a relaxed TbNdTeSe crystal.

volume	28.469	A^3/atom
energy	-5.539	eV per atom
crystal system	trigonal
ΔE_f (raw)	-6.1	eV/f.u.

CIF file:
```
data_TbNdTeSe
_cell_length_a 4.1433
_cell_length_b 4.1433
_cell_length_c 22.9837
_cell_angle_alpha 90.00
_cell_angle_beta 90.00
_cell_angle_gamma 120.00
_space_group_name_H-M_alt 'R 3 m'
_space_group_IT_number 160
_space_group_name_Hall 'R 3 -2"'
loop_
_atom_site_label
_atom_site_type_symbol
_atom_site_fract_x
_atom_site_fract_y
_atom_site_fract_z
Tb1 Tb 0.0000 0.0000 0.0000
Nd1 Nd 0.0000 0.0000 0.8377
Te1 Te 0.0000 0.0000 0.4152
Se1 Se 0.0000 0.0000 0.5899
```

=====

(6)
A plane-wave DFT calculation with GGA-PBE was carried out for a relaxed TbNd2Te2Se2 crystal.

volume	32.402	A^3/atom
energy	-5.240	eV per atom
crystal system	tetragonal
ΔE_f (raw)	-9.3	eV/f.u.

CIF file:
```
data_TbNd2Te2Se2
_cell_length_a 5.3251
_cell_length_b 5.3251
_cell_length_c 15.9971
_cell_angle_alpha 90.00
_cell_angle_beta 90.00
_cell_angle_gamma 90.00
_space_group_name_H-M_alt 'I 4/m m m'
_space_group_IT_number 139
_space_group_name_Hall '-I 4 2'
loop_
_atom_site_label
_atom_site_type_symbol
_atom_site_fract_x
_atom_site_fract_y
_atom_site_fract_z
Tb1 Tb 0.0000 0.0000 0.0000
Nd1 Nd 0.0000 0.0000 0.3827
Te1 Te 0.0000 0.0000 0.1876
Se1 Se 0.0000 0.5000 0.0000
```